First-principles (PBEsol) data for AgHg2Br after structural relaxation, as listed in Alexandria.

Computed properties:
E_tot: -1.654 eV per atom
Crystal system: monoclinic
ΔE to the lowest computed polymorph: 22 meV per atom
Density: 9.995 g/cm³
Raw formation energy: -75 meV per atom
SG: Pm, No. 6

Cell: 4.029 3.751 6.780 Å, 90.00 107.28 90.00°
Atoms (fractional coordinates):
Ag (0.000, 0.000, 0.000)
Hg (0.426, 0.500, 0.852)
Hg (0.788, 0.000, 0.573)
Br (0.155, 0.500, 0.308)

***

First-principles (PBEsol) data for La3SiRh after structural relaxation, as listed in Alexandria.

Computed properties:
E_tot: -6.201 eV per atom
Crystal system: cubic
Density: 5.930 g/cm³
Raw formation energy: -216 meV per atom
SG: Pm-3m, No. 221

Cell: 5.353 5.353 5.353 Å, 90.00 90.00 90.00°
Atoms (fractional coordinates):
La (0.000, 0.000, 0.500)
La (0.000, 0.500, 0.000)
La (0.500, 0.000, 0.000)
Si (0.500, 0.500, 0.500)
Rh (0.000, 0.000, 0.000)

***

First-principles (PBEsol) data for K2AgH2 after structural relaxation, as listed in Alexandria.

Computed properties:
E_tot: -2.028 eV per atom
Crystal system: tetragonal
ΔE to the lowest computed polymorph: 418 meV per atom
Density: 2.751 g/cm³
SG: I4/mmm, No. 139

Cell: 8.642 8.642 8.642 Å, 155.19 155.19 35.38°
Atoms (fractional coordinates):
K (0.144, 0.144, 0.000)
K (0.856, 0.856, 0.000)
Ag (0.500, 0.500, 0.000)
H (0.250, 0.750, 0.500)
H (0.750, 0.250, 0.500)

***

First-principles (PBEsol) data for Li2ScBiRh after structural relaxation, as listed in Alexandria.

Computed properties:
E_tot: -4.578 eV per atom
Formation energy from the elements: 1.4 kJ/mol of atoms
Crystal system: tetragonal
Density: 5.971 g/cm³
SG: P4/mmm, No. 123

Cell: 4.486 4.486 5.123 Å, 90.00 90.00 90.00°
Atoms (fractional coordinates):
Li (0.000, 0.500, 0.000)
Li (0.500, 0.000, 0.000)
Sc (0.000, 0.000, 0.500)
Bi (0.500, 0.500, 0.500)
Rh (0.500, 0.500, 0.000)

***

First-principles (PBEsol) data for RbBe2NiAu after structural relaxation, as listed in Alexandria.

Computed properties:
E_tot: -2.896 eV per atom
Formation energy from the elements: 89.3 kJ/mol of atoms
Crystal system: tetragonal
Density: 5.900 g/cm³
SG: P4/mmm, No. 123

Cell: 4.273 4.273 5.537 Å, 90.00 90.00 90.00°
Atoms (fractional coordinates):
Rb (0.000, 0.000, 0.000)
Be (0.000, 0.500, 0.500)
Be (0.500, 0.000, 0.500)
Ni (0.000, 0.000, 0.500)
Au (0.500, 0.500, 0.000)

***

First-principles (PBEsol) data for KGe after structural relaxation, as listed in Alexandria.

Computed properties:
E_tot: -3.245 eV per atom
Formation energy from the elements: -20.1 kJ/mol of atoms
Crystal system: tetragonal
Density: 3.071 g/cm³
SG: I4_1/acd, No. 142

Cell: 11.423 11.423 11.423 Å, 124.79 124.79 81.88°
Atoms (fractional coordinates):
K (0.003, 0.253, 0.506)
K (0.109, 0.750, 0.859)
K (0.247, 0.497, 0.994)
K (0.250, 0.109, 0.859)
K (0.250, 0.609, 0.359)
K (0.253, 0.247, 0.250)
K (0.391, 0.250, 0.641)
K (0.497, 0.003, 0.250)
K (0.503, 0.997, 0.750)
K (0.609, 0.750, 0.359)
K (0.747, 0.753, 0.750)
K (0.750, 0.391, 0.641)
K (0.750, 0.891, 0.141)
K (0.753, 0.503, 0.006)
K (0.891, 0.250, 0.141)
K (0.997, 0.747, 0.494)
Ge (0.010, 0.717, 0.083)
Ge (0.073, 0.990, 0.208)
Ge (0.134, 0.927, 0.417)
Ge (0.217, 0.510, 0.583)
Ge (0.283, 0.866, 0.292)
Ge (0.366, 0.783, 0.792)
Ge (0.427, 0.634, 0.917)
Ge (0.490, 0.573, 0.708)
Ge (0.510, 0.427, 0.292)
Ge (0.573, 0.366, 0.083)
Ge (0.634, 0.217, 0.208)
Ge (0.717, 0.134, 0.708)
Ge (0.783, 0.490, 0.417)
Ge (0.866, 0.073, 0.583)
Ge (0.927, 0.010, 0.792)
Ge (0.990, 0.283, 0.917)